ZnInGa2S6 | PBE-GGA | optimized geometry

```
data_ZnInGa2S6
_chemical_formula_sum 'Zn2 In2 Ga4 S12'
_space_group_name_H-M_alt 'P 1'
_space_group_IT_number 1
_space_group_name_Hall 'P 1'
_cell_length_a 6.676
_cell_length_b 8.958
_cell_length_c 8.958
_cell_angle_alpha 89.28
_cell_angle_beta 70.92
_cell_angle_gamma 70.92
loop_
_atom_site_label
_atom_site_fract_x
_atom_site_fract_y
_atom_site_fract_z
Zn1 0.250 0.179 0.821
Zn2 0.750 0.821 0.179
In1 0.250 0.835 0.165
In2 0.750 0.165 0.835
Ga1 0.286 0.769 0.599
Ga2 0.214 0.401 0.231
Ga3 0.714 0.231 0.401
Ga4 0.786 0.599 0.769
S1 0.123 0.955 0.816
S2 0.377 0.184 0.045
S3 0.877 0.045 0.184
S4 0.623 0.816 0.955
S5 0.392 0.896 0.376
S6 0.108 0.624 0.104
S7 0.608 0.104 0.624
S8 0.892 0.376 0.896
S9 0.044 0.657 0.553
S10 0.456 0.447 0.343
S11 0.956 0.343 0.447
S12 0.544 0.553 0.657
```

Values from the calculation:
SG ... No. 15
VASP energy ... -3.96 eV per atom
Size of the total moment ... 0.00 μB/cell
Uncorrected formation energy ... -478 meV/atom
Calculated density ... 3.6 Mg/m³